# 1
A plane-wave DFT calculation with GGA-PBE was carried out for a relaxed SrAlP3 crystal.

## Properties
Offset from the most stable computed form = 1437 meV/atom
Symmetry = Pm-3m, No. 221
Spin magnetization = 0.000 μB per formula unit
Formation energy from the elements = 1.339 eV/atom
Calculated volume = 32.55 Å³/atom
DOS(E_F) = 6.08 states/eV/f.u.
Raw total energy = -2.992 eV per atom

Unit cell a=5.4596 b=5.4596 c=5.4596 alpha=90.00 beta=90.00 gamma=90.00
Last column: nearest neighbours and their distance in Å.
Sites, in units of the cell vectors:
1 Sr 0.0000 0.0000 0.0000  6 P 2.73
2 Al 0.5000 0.5000 0.5000  12 P 3.86
3 P 0.0000 0.0000 0.5000  2 Sr 2.73
4 P 0.0000 0.5000 0.0000  2 Sr 2.73
5 P 0.5000 0.0000 0.0000  2 Sr 2.73

# 2
A plane-wave DFT calculation with GGA-PBE was carried out for a relaxed SrAlP2 crystal.

## Properties
Symmetry = Immm, No. 71
Spin magnetization = 0.000 μB per formula unit
Formation energy from the elements = -0.395 eV/atom
Calculated volume = 22.32 Å³/atom
DOS(E_F) = 2.11 states/eV/f.u.
Raw total energy = -4.456 eV per atom

Unit cell a=4.9972 b=4.9972 c=4.9972 alpha=126.58 beta=105.13 gamma=98.22
Last column: nearest neighbours and their distance in Å.
Sites, in units of the cell vectors:
1 Sr 0.0000 0.0000 0.0000  8 P 3.10-3.25, 2 Al 3.27
2 Al 0.5000 0.5000 0.0000  4 P 2.52
3 P 0.3255 0.8255 0.5000  1 P 2.28, 2 Al 2.52
4 P 0.6745 0.1745 0.5000  1 P 2.28, 2 Al 2.52

# 3
A plane-wave DFT calculation with GGA-PBE was carried out for a relaxed SrAlP2 crystal.

## Properties
Symmetry = F-43m, No. 216
Spin magnetization = 0.000 μB per formula unit
Formation energy from the elements = 0.230 eV/atom
Calculated volume = 21.38 Å³/atom
DOS(E_F) = 4.65 states/eV/f.u.
Raw total energy = -3.831 eV per atom

Unit cell a=4.9457 b=4.9457 c=4.9457 alpha=60.00 beta=60.00 gamma=60.00
Last column: nearest neighbours and their distance in Å.
Sites, in units of the cell vectors:
1 Sr 0.0000 0.0000 0.0000  4 P 3.03, 4 Al 3.03
2 Al 0.2500 0.2500 0.2500  4 Sr 3.03, 4 P 3.03
3 P 0.5000 0.5000 0.5000  4 Al 3.03, 4 P 3.03
4 P 0.7500 0.7500 0.7500  4 P 3.03, 4 Sr 3.03

# 4
A plane-wave DFT calculation with GGA-PBE was carried out for a relaxed SrAlP2 crystal.

## Properties
Symmetry = C2/m, No. 12
Spin magnetization = 0.000 μB per formula unit
Formation energy from the elements = -0.536 eV/atom
Calculated volume = 21.21 Å³/atom
DOS(E_F) = 1.43 states/eV/f.u.
Raw total energy = -4.597 eV per atom

Unit cell a=3.8353 b=3.8353 c=6.8399 alpha=110.95 beta=110.95 gamma=69.52
Last column: nearest neighbours and their distance in Å.
Sites, in units of the cell vectors:
1 Sr 0.0000 0.0000 0.0000  6 P 3.07-3.08
2 Al 0.5000 0.5000 0.5000  6 P 2.53-2.59
3 P 0.2198 0.2198 0.6758  3 Al 2.53-2.59, 1 P 2.77
4 P 0.7802 0.7802 0.3242  3 Al 2.53-2.59, 1 P 2.77

# 5
A plane-wave DFT calculation with GGA-PBE was carried out for a relaxed SrAlP2 crystal.

## Properties
Symmetry = I4/mmm, No. 139
Spin magnetization = 0.000 μB per formula unit
Formation energy from the elements = -0.086 eV/atom
Calculated volume = 20.76 Å³/atom
DOS(E_F) = 1.46 states/eV/f.u.
Raw total energy = -4.147 eV per atom

Unit cell a=5.0944 b=5.0944 c=5.0944 alpha=126.28 beta=126.28 gamma=79.43
Last column: nearest neighbours and their distance in Å.
Sites, in units of the cell vectors:
1 Sr 0.0000 0.0000 0.0000  8 P 3.02, 4 Al 3.26
2 Al 0.5000 0.5000 0.0000  8 P 3.02, 4 Sr 3.26
3 P 0.2500 0.7500 0.5000  4 Al 3.02, 4 Sr 3.02, 4 P 3.26
4 P 0.7500 0.2500 0.5000  4 Al 3.02, 4 Sr 3.02, 4 P 3.26

# 6
A plane-wave DFT calculation with GGA-PBE was carried out for a relaxed SrAl4P crystal.

## Properties
Symmetry = F-43m, No. 216
Spin magnetization = 0.000 μB per formula unit
Formation energy from the elements = 0.134 eV/atom
Calculated volume = 20.91 Å³/atom
DOS(E_F) = 5.21 states/eV/f.u.
Raw total energy = -3.543 eV per atom

Unit cell a=5.6193 b=5.6193 c=5.6193 alpha=60.00 beta=60.00 gamma=60.00
Last column: nearest neighbours and their distance in Å.
Sites, in units of the cell vectors:
1 Sr 0.0000 0.0000 0.0000  12 Al 3.30, 4 P 3.44
2 Al 0.1269 0.6244 0.6244  6 Al 2.80-2.82
3 Al 0.6244 0.1269 0.6244  6 Al 2.80-2.82
4 Al 0.6244 0.6244 0.1269  6 Al 2.80-2.82
5 Al 0.6244 0.6244 0.6244  6 Al 2.80-2.82
6 P 0.2500 0.2500 0.2500  12 Al 3.29, 4 Sr 3.44

# 7
A plane-wave DFT calculation with GGA-PBE was carried out for a relaxed SrAlP2 crystal.

## Properties
Symmetry = P4/mmm, No. 123
Spin magnetization = 0.000 μB per formula unit
Formation energy from the elements = -0.159 eV/atom
Calculated volume = 20.48 Å³/atom
DOS(E_F) = 2.00 states/eV/f.u.
Raw total energy = -4.221 eV per atom

Unit cell a=4.6379 b=4.6379 c=3.8084 alpha=90.00 beta=90.00 gamma=90.00
Last column: nearest neighbours and their distance in Å.
Sites, in units of the cell vectors:
1 Sr 0.0000 0.0000 0.0000  8 P 3.00, 4 Al 3.28
2 Al 0.5000 0.5000 0.0000  8 P 3.00, 4 Sr 3.28
3 P 0.0000 0.5000 0.5000  4 Al 3.00, 4 Sr 3.00, 4 P 3.28
4 P 0.5000 0.0000 0.5000  4 Al 3.00, 4 Sr 3.00, 4 P 3.28

# 8
A plane-wave DFT calculation with GGA-PBE was carried out for a relaxed SrAlP2 crystal.

## Properties
Symmetry = R3m, No. 160
Spin magnetization = 0.000 μB per formula unit
Formation energy from the elements = -0.508 eV/atom
Calculated volume = 21.62 Å³/atom
DOS(E_F) = 2.14 states/eV/f.u.
Raw total energy = -4.569 eV per atom

Unit cell a=7.2653 b=7.2653 c=7.2653 alpha=30.29 beta=30.29 gamma=30.29
Last column: nearest neighbours and their distance in Å.
Sites, in units of the cell vectors:
1 Sr 0.0000 0.0000 0.0000  6 P 3.05-3.08
2 Al 0.8285 0.8285 0.8285  6 P 2.52-2.60
3 P 0.2294 0.2294 0.2294  3 Al 2.60
4 P 0.4354 0.4354 0.4354  3 Al 2.52

# 9
A plane-wave DFT calculation with GGA-PBE was carried out for a relaxed Sr2AlP crystal.

## Properties
Symmetry = Fm-3m, No. 225
Spin magnetization = 0.000 μB per formula unit
Formation energy from the elements = -0.288 eV/atom
Calculated volume = 28.28 Å³/atom
DOS(E_F) = 3.88 states/eV/f.u.
Raw total energy = -3.417 eV per atom

Unit cell a=5.4287 b=5.4287 c=5.4287 alpha=60.00 beta=60.00 gamma=60.00
Last column: nearest neighbours and their distance in Å.
Sites, in units of the cell vectors:
1 Sr 0.2500 0.2500 0.2500  4 Al 3.32, 4 P 3.32
2 Sr 0.7500 0.7500 0.7500  4 Al 3.32, 4 P 3.32
3 Al 0.0000 0.0000 0.0000  8 Sr 3.32
4 P 0.5000 0.5000 0.5000  8 Sr 3.32

# 10
A plane-wave DFT calculation with GGA-PBE was carried out for a relaxed Sr2AlP crystal.

## Properties
Symmetry = I4/mmm, No. 139
Spin magnetization = 0.000 μB per formula unit
Formation energy from the elements = -0.330 eV/atom
Calculated volume = 27.37 Å³/atom
DOS(E_F) = 0.87 states/eV/f.u.
Raw total energy = -3.459 eV per atom

Unit cell a=5.7243 b=5.7243 c=5.7243 alpha=129.30 beta=129.30 gamma=74.53
Last column: nearest neighbours and their distance in Å.
Sites, in units of the cell vectors:
1 Sr 0.2500 0.7500 0.5000  4 Al 3.35, 4 P 3.35, 4 Sr 3.47
2 Sr 0.7500 0.2500 0.5000  4 Al 3.35, 4 P 3.35, 4 Sr 3.47
3 Al 0.0000 0.0000 0.0000  8 Sr 3.35, 4 P 3.47
4 P 0.5000 0.5000 0.0000  8 Sr 3.35, 4 Al 3.47

# 11
A plane-wave DFT calculation with GGA-PBE was carried out for a relaxed Sr4AlP crystal.

## Properties
Symmetry = F-43m, No. 216
Spin magnetization = 0.001 μB per formula unit
Formation energy from the elements = 0.611 eV/atom
Calculated volume = 37.03 Å³/atom
DOS(E_F) = 7.99 states/eV/f.u.
Raw total energy = -2.035 eV per atom

Unit cell a=6.7985 b=6.7985 c=6.7985 alpha=60.00 beta=60.00 gamma=60.00
Last column: nearest neighbours and their distance in Å.
Sites, in units of the cell vectors:
1 Sr 0.1255 0.1255 0.1255  6 Sr 3.39-3.41
2 Sr 0.1255 0.1255 0.6236  6 Sr 3.39-3.41
3 Sr 0.1255 0.6236 0.1255  6 Sr 3.39-3.41
4 Sr 0.6236 0.1255 0.1255  6 Sr 3.39-3.41
5 Al 0.7500 0.7500 0.7500  12 Sr 3.99, 4 P 4.16
6 P 0.5000 0.5000 0.5000  12 Sr 3.98, 4 Al 4.16

# 12
A plane-wave DFT calculation with GGA-PBE was carried out for a relaxed Sr2AlP crystal.

## Properties
Symmetry = R-3m, No. 166
Spin magnetization = 0.884 μB per formula unit
Formation energy from the elements = -0.359 eV/atom
Calculated volume = 34.87 Å³/atom
DOS(E_F) = 3.28 states/eV/f.u.
Raw total energy = -3.488 eV per atom

Unit cell a=8.7646 b=8.7646 c=8.7646 alpha=28.94 beta=28.94 gamma=28.94
Last column: nearest neighbours and their distance in Å.
Sites, in units of the cell vectors:
1 Sr 0.2300 0.2300 0.2300  3 P 2.99
2 Sr 0.7700 0.7700 0.7700  3 P 2.99
3 Al 0.0000 0.0000 0.0000  6 Sr 3.63
4 P 0.5000 0.5000 0.5000  6 Sr 2.99